Entry 1:
The following is a GGA-PBE calculation of a geometry-optimized BePtO structure, from Alexandria.

a b c (Å): 2.7211 2.7213 9.7178
angles (deg): 82.08 82.02 60.01
Last column: nearest neighbours and their distance in Å.
Space group P1 (No. 1)
Asymmetric unit:
Be 0.0000 0.0000 0.0000 [1 per cell]  4 O 1.63-1.73
Be 0.2555 0.2578 0.2347 [1 per cell]  3 O 1.66
Pt 0.5085 0.5068 0.4734 [1 per cell]  9 Pt 2.72-2.87, 3 Be 2.77-2.79
Pt 0.7587 0.7571 0.7237 [1 per cell]  1 O 2.21
O 0.6820 0.6817 0.9538 [1 per cell]  3 Be 1.63
O 0.9403 0.9421 0.1799 [1 per cell]  4 Be 1.66-1.73

Properties
- density (Mg/m³) = 11.9
- energy relative to the elements, uncorrected (meV per atom) = -1589

=====

Entry 2:
The following is a GGA-PBE calculation of a geometry-optimized LiPu2Ga3Pt4 structure, from Alexandria.

a b c (Å): 4.0690 4.0690 11.3209
angles (deg): 90.00 90.00 90.00
Last column: nearest neighbours and their distance in Å.
Space group P-4m2 (No. 115)
Asymmetric unit:
Li 0.0000 0.0000 0.0000 [1 per cell]  4 Pt 2.62, 4 Ga 2.88
Pu 0.0000 0.5000 0.7550 [2 per cell]  4 Pt 3.09, 6 Ga 3.19-3.44, 2 Li 3.44
Ga 0.0000 0.5000 0.3672 [2 per cell]  5 Pt 2.51-2.53
Ga 0.5000 0.5000 0.0000 [1 per cell]  4 Pt 2.62, 4 Li 2.88
Pt 0.0000 0.0000 0.5000 [1 per cell]  4 Ga 2.53
Pt 0.0000 0.5000 0.1458 [2 per cell]  3 Ga 2.51-2.62, 2 Li 2.62
Pt 0.5000 0.5000 0.5000 [1 per cell]  4 Ga 2.53

Properties
- density (Mg/m³) = 13.2
- E_form (kJ/mol of atoms) = -72